{"formula": "TlHgOs", "functional": "GGA-PBE", "state": "relaxed", "cell": [[3.045, 0.000, 0.000], [-1.522, 2.637, 0.000], [0.000, 0.000, 7.697]], "species": ["Tl", "Hg", "Os"], "frac_coords": [[0.000, 0.000, 0.000], [0.333, 0.667, 0.387], [0.667, 0.333, 0.690]], "space_group": "No. 156", "magnetic_moment_mub_per_cell": 1.0, "e_above_lowest_polymorph_ev_per_atom": 0.0000, "dos_at_fermi_per_ev_cell": 2.76, "delta_e_f_ev_per_atom": 0.955, "dft_energy_ev_per_cell": -11.03}